1.
! FeAs2Cl | the Alexandria database | PBE | relaxed; values from VASP
&SYSTEM
  ibrav = 0, nat = 4, ntyp = 3
/
ATOMIC_SPECIES
As 74.92 As.upf
Fe 55.84 Fe.upf
Cl 35.45 Cl.upf
CELL_PARAMETERS angstrom
2.977 0.000 0.000
0.000 4.927 0.000
0.000 0.000 4.811
ATOMIC_POSITIONS crystal
As 0.000 0.000 0.000
As 0.500 0.500 0.000
Fe 0.000 0.500 0.500
Cl 0.500 0.000 0.500
! Relative energy among the computed polymorphs = 614.0 meV/atom
! Calculated total energy = -17.68 eV per cell
! Size of the total moment = 3.2 μB per cell
! SG = Pmmm

---

2.
! TlGaHgPb | the Alexandria database | PBE | relaxed; values from VASP
&SYSTEM
  ibrav = 0, nat = 4, ntyp = 4
/
ATOMIC_SPECIES
Tl 204.38 Tl.upf
Ga 69.72 Ga.upf
Hg 200.59 Hg.upf
Pb 207.20 Pb.upf
CELL_PARAMETERS angstrom
3.510 0.000 -0.008
0.000 3.814 0.000
-1.756 0.000 8.322
ATOMIC_POSITIONS crystal
Tl 0.591 0.000 0.117
Ga 0.377 0.000 0.684
Hg 0.972 0.500 0.873
Pb 0.768 0.500 0.465
! Formation enthalpy at 0 K = 0.064 eV per atom
! Relative energy among the computed polymorphs = 15.3 meV/atom
! Calculated total energy = -9.15 eV per cell
! Size of the total moment = 0.0 μB per cell
! SG = Pm

---

3.
! NiGe3Ir2 | the Alexandria database | PBE | relaxed; values from VASP
&SYSTEM
  ibrav = 0, nat = 12, ntyp = 3
/
ATOMIC_SPECIES
Ni 58.69 Ni.upf
Ge 72.64 Ge.upf
Ir 192.22 Ir.upf
CELL_PARAMETERS angstrom
-3.004 -4.951 -2.884
-2.486 -4.794 3.564
-6.439 -0.630 0.533
ATOMIC_POSITIONS crystal
Ni 0.500 0.500 0.500
Ni 0.000 0.000 0.000
Ge 0.913 0.587 0.250
Ge 0.250 0.913 0.250
Ge 0.750 0.087 0.750
Ge 0.413 0.750 0.750
Ge 0.087 0.413 0.750
Ge 0.587 0.250 0.250
Ir 0.164 0.164 0.509
Ir 0.336 0.336 0.991
Ir 0.836 0.836 0.491
Ir 0.664 0.664 0.009
! Formation enthalpy at 0 K = -0.292 eV per atom
! Calculated total energy = -78.21 eV per cell
! Size of the total moment = 0.0 μB per cell
! SG = R-3c

---

Number 1: density of states at the Fermi level 0.862 states/eV/atom. Number 2: density of states at the Fermi level 0.385 states/eV/atom. Number 3: density of states at the Fermi level 0.506 states/eV/atom.